[1]
# PBE BaAs2Ru, optimized geometry
# **Crystal system**: orthorhombic
# **Uncorrected energy**: -5.298 eV/atom
data_BaAs2Ru
_chemical_formula_sum 'Ba1 As2 Ru1'
_space_group_name_H-M_alt 'P m m m'
_space_group_IT_number 47
_space_group_name_Hall '-P 2 2'
_cell_length_a 3.238
_cell_length_b 3.449
_cell_length_c 7.527
_cell_angle_alpha 90.00
_cell_angle_beta 90.00
_cell_angle_gamma 90.00
loop_
_atom_site_label
_atom_site_type_symbol
_atom_site_fract_x
_atom_site_fract_y
_atom_site_fract_z
Ba1 Ba 0.000 0.000 0.000
As1 As 0.500 0.500 0.320
Ru1 Ru 0.000 0.000 0.500


[2]
# PBE Tb5NdMg4, optimized geometry
# **Crystal system**: tetragonal
# **Uncorrected energy**: -3.490 eV/atom
data_Tb5NdMg4
_chemical_formula_sum 'Tb5 Nd1 Mg4'
_space_group_name_H-M_alt 'P 4/m m m'
_space_group_IT_number 123
_space_group_name_Hall '-P 4 2'
_cell_length_a 3.752
_cell_length_b 3.752
_cell_length_c 20.414
_cell_angle_alpha 90.00
_cell_angle_beta 90.00
_cell_angle_gamma 90.00
loop_
_atom_site_label
_atom_site_type_symbol
_atom_site_fract_x
_atom_site_fract_y
_atom_site_fract_z
Tb1 Tb 0.000 0.000 0.000
Tb2 Tb 0.000 0.000 0.189
Tb3 Tb 0.000 0.000 0.379
Nd1 Nd 0.500 0.500 0.500
Mg1 Mg 0.500 0.500 0.095
Mg2 Mg 0.500 0.500 0.283


[3]
# PBE GeSbTe, optimized geometry
# **Polymorph energy (0 for the lowest one)**: 0.0 meV/atom
# **Crystal system**: trigonal
data_GeSbTe
_chemical_formula_sum 'Ge1 Sb1 Te1'
_space_group_name_H-M_alt 'P 3 m 1'
_space_group_IT_number 156
_space_group_name_Hall 'P 3 -2"'
_cell_length_a 4.2277
_cell_length_b 4.2277
_cell_length_c 5.2679
_cell_angle_alpha 90.00
_cell_angle_beta 90.00
_cell_angle_gamma 120.00
loop_
_atom_site_label
_atom_site_type_symbol
_atom_site_fract_x
_atom_site_fract_y
_atom_site_fract_z
Ge1 Ge 0.0000 0.0000 0.0000
Sb1 Sb 0.3333 0.6667 0.2797
Te1 Te 0.6667 0.3333 0.6656


[4]
# PBE CuAgAu6, optimized geometry
# **Crystal system**: tetragonal
# **Uncorrected energy**: -3.342 eV/atom
data_CuAgAu6
_chemical_formula_sum 'Cu1 Ag1 Au6'
_space_group_name_H-M_alt 'P 4/m m m'
_space_group_IT_number 123
_space_group_name_Hall '-P 4 2'
_cell_length_a 4.159
_cell_length_b 4.159
_cell_length_c 8.049
_cell_angle_alpha 90.00
_cell_angle_beta 90.00
_cell_angle_gamma 90.00
loop_
_atom_site_label
_atom_site_type_symbol
_atom_site_fract_x
_atom_site_fract_y
_atom_site_fract_z
Cu1 Cu 0.000 0.000 0.000
Ag1 Ag 0.000 0.000 0.500
Au1 Au 0.000 0.500 0.241
Au2 Au 0.500 0.500 0.000
Au3 Au 0.500 0.500 0.500


[5]
# PBE ErMg2Pt2, optimized geometry
# **Crystal system**: monoclinic
# **Uncorrected energy**: -4.838 eV/atom
data_ErMg2Pt2
_chemical_formula_sum 'Er2 Mg4 Pt4'
_space_group_name_H-M_alt 'P 1 21/m 1'
_space_group_IT_number 11
_space_group_name_Hall '-P 2yb'
_cell_length_a 4.613
_cell_length_b 4.657
_cell_length_c 9.740
_cell_angle_alpha 90.00
_cell_angle_beta 90.01
_cell_angle_gamma 90.00
loop_
_atom_site_label
_atom_site_type_symbol
_atom_site_fract_x
_atom_site_fract_y
_atom_site_fract_z
Er1 Er 0.249 0.250 0.323
Mg1 Mg 0.250 0.250 0.670
Mg2 Mg 0.250 0.250 0.986
Pt1 Pt 0.250 0.750 0.157
Pt2 Pt 0.251 0.750 0.508


[6]
# PBE ZrCoSN2, optimized geometry
# **Crystal system**: tetragonal
# **Uncorrected energy**: -7.045 eV/atom
data_ZrCoSN2
_chemical_formula_sum 'Zr1 Co1 S1 N2'
_space_group_name_H-M_alt 'P 4/m m m'
_space_group_IT_number 123
_space_group_name_Hall '-P 4 2'
_cell_length_a 3.739
_cell_length_b 3.739
_cell_length_c 4.364
_cell_angle_alpha 90.00
_cell_angle_beta 90.00
_cell_angle_gamma 90.00
loop_
_atom_site_label
_atom_site_type_symbol
_atom_site_fract_x
_atom_site_fract_y
_atom_site_fract_z
Zr1 Zr 0.000 0.000 0.000
Co1 Co 0.500 0.500 0.500
S1 S 0.500 0.500 0.000
N1 N 0.000 0.500 0.500